Record 1
This record from Alexandria via LeMat-Bulk describes a relaxed structure of KSc2Tl. The functional is PBE.

Properties
DOS at the Fermi energy	4.444	states/eV per cell
ΔE_f	0.349	eV per atom

Lattice parameters (Å, degrees): 3.583 5.635 5.574 90.00 90.00 90.00
Element x y z (fractional)
Tl 0.500 0.000 0.500
Sc 0.000 0.000 0.000
K 0.000 0.500 0.500
Sc 0.500 0.500 0.000

=====

Record 2
This record from Alexandria via LeMat-Bulk describes a relaxed structure of ErTlF4. The functional is PBE.

Properties
formation energy from raw total energies	-3.340	eV/atom
DOS at the Fermi energy	0.000	states/eV per cell

Lattice parameters (Å, degrees): 3.846 3.846 6.692 90.00 90.00 90.00
Element x y z (fractional)
F 0.500 0.000 0.687
F 0.000 0.500 0.313
Er 0.500 0.500 0.500
F 0.500 0.000 0.313
Tl 0.000 0.000 0.000
F 0.000 0.500 0.687

=====

Record 3
This record from Alexandria via LeMat-Bulk describes a relaxed structure of LiHfTi2. The functional is PBE.

Properties
DOS at the Fermi energy	7.684	states/eV per cell
ΔE_f	0.401	eV per atom

Lattice parameters (Å, degrees): 4.657 4.657 4.657 60.00 60.00 60.00
Element x y z (fractional)
Ti 0.750 0.750 0.750
Ti 0.250 0.250 0.250
Li 0.000 0.000 0.000
Hf 0.500 0.500 0.500

=====

Record 4
This record from Alexandria via LeMat-Bulk describes a relaxed structure of Nd4CoI2. The functional is PBE.

Properties
formation energy from raw total energies	-0.311	eV/atom
DOS at the Fermi energy	6.261	states/eV per cell

Lattice parameters (Å, degrees): 5.430 5.430 8.860 72.16 72.16 90.00
Element x y z (fractional)
I 0.375 0.375 0.250
Co 0.000 0.000 0.000
I 0.625 0.625 0.750
Nd 0.168 0.168 0.663
Nd 0.832 0.832 0.337
Nd 0.000 0.500 0.000
Nd 0.500 0.000 0.000

=====

Record 5
This record from Alexandria via LeMat-Bulk describes a relaxed structure of KPmSnTe3. The functional is PBE.

Properties
formation energy from raw total energies	-1.004	eV/atom

Lattice parameters (Å, degrees): 4.485 9.301 11.910 107.40 90.00 90.00
Element x y z (fractional)
Te 0.750 0.896 0.210
Sn 0.250 0.131 0.556
K 0.250 0.225 0.268
K 0.750 0.775 0.732
Te 0.750 0.391 0.112
Te 0.250 0.104 0.790
Pm 0.750 0.362 0.843
Pm 0.250 0.638 0.157
Te 0.250 0.649 0.429
Sn 0.750 0.869 0.444
Te 0.750 0.351 0.571
Te 0.250 0.609 0.888

=====

Record 6
This record from Alexandria via LeMat-Bulk describes a relaxed structure of Ce2Tc3Ni. The functional is PBE.

Properties
DOS at the Fermi energy	7.218	states/eV per cell
ΔE_f	-0.193	eV per atom

Lattice parameters (Å, degrees): 5.215 5.215 5.478 90.08 118.46 119.87
Element x y z (fractional)
Ce 0.749 0.375 0.124
Tc 0.000 0.000 0.500
Ce 0.251 0.625 0.876
Ni 0.000 0.000 0.000
Tc 0.500 0.000 0.500
Tc 0.500 0.500 0.500